Record 1
AcTb5YHo2 (GGA-PBE, optimized geometry); calculated formation energy = 0.16 eV/atom; final energy = -4.609 eV per atom; DOS at the Fermi energy = 24.2 states/eV per cell; calculated density = 7.739 Mg/m³; volume = 34.34 A^3/atom
1.0
5.525 0.000 0.000
-2.762 11.906 0.000
0.000 0.000 9.397
Tb Ho Y Ac
10 4 2 2
Direct
0.604 0.208 0.530
0.396 0.792 0.030
0.743 0.485 0.864
0.525 0.050 0.250
0.257 0.515 0.364
0.310 0.620 0.726
0.992 0.983 0.027
0.475 0.950 0.750
0.008 0.017 0.527
0.690 0.380 0.226
0.171 0.343 0.676
0.113 0.226 0.286
0.887 0.774 0.786
0.829 0.657 0.176
0.239 0.478 0.037
0.761 0.522 0.537
0.398 0.795 0.427
0.602 0.205 0.927

***

Record 2
AcTbY3Ho (GGA-PBE, optimized geometry); calculated formation energy = 0.23 eV/atom; final energy = -5.226 eV per atom; DOS at the Fermi energy = 21.3 states/eV per cell; calculated density = 6.249 Mg/m³; volume = 36.21 A^3/atom
1.0
-2.143 3.508 -3.517
-9.464 -5.841 4.102
-1.611 4.331 5.302
Y Tb Ho Ac
6 2 2 2
Direct
0.478 0.956 0.284
0.522 0.044 0.716
0.179 0.358 0.714
0.775 0.550 0.812
0.225 0.450 0.188
0.821 0.642 0.286
0.333 0.666 0.526
0.667 0.334 0.474
0.925 0.851 0.615
0.075 0.149 0.385
0.627 0.254 0.019
0.373 0.746 0.981